A plane-wave DFT calculation with GGA-PBE was carried out for a relaxed structure of K5BrCl4.

Calculated values
offset from the most stable computed form = 0.001 eV/atom
M_tot = 0.0 μB per formula unit
space group = No. 166
DOS at the Fermi energy = 0.00 states/eV per cell
formation energy from raw total energies = -19.15 eV per formula unit
uncorrected energy = -3.37 eV per atom

a b c (Å): 18.816 18.816 18.816
angles (deg): 13.90 13.90 13.90
Sites, in units of the cell vectors:
K  0.000  0.000  0.000
K  0.203  0.203  0.203
K  0.399  0.399  0.399
K  0.601  0.601  0.601
K  0.797  0.797  0.797
Br  0.500  0.500  0.500
Cl  0.098  0.098  0.098
Cl  0.301  0.301  0.301
Cl  0.699  0.699  0.699
Cl  0.902  0.902  0.902